# 1
The following is a GGA-PBE calculation of an optimized crystal structure of ThPa2Fe, from Alexandria via LeMat-Bulk.

Calculated values
Total DFT energy (no corrections), eV per atom: -8.670
Magnetization, μB per cell: 0.0
Space group: R3m, No. 160
Density, g/cm³: 12.7
Formation enthalpy at 0 K, meV per atom: 49

abc: 3.581 3.581 26.524
angles: 90.00 90.00 120.00
Element x y z (fractional)
Th: 0.000 0.000 0.000
Th: 0.333 0.667 0.667
Th: 0.667 0.333 0.333
Pa: 0.000 0.000 0.560
Pa: 0.000 0.000 0.774
Pa: 0.333 0.667 0.227
Pa: 0.333 0.667 0.441
Pa: 0.667 0.333 0.107
Pa: 0.667 0.333 0.894
Fe: 0.000 0.000 0.169
Fe: 0.333 0.667 0.836
Fe: 0.667 0.333 0.503



# 2
The following is a GGA-PBE calculation of an optimized crystal structure of ThPaFe10, from Alexandria via LeMat-Bulk.

Calculated values
Total DFT energy (no corrections), eV per atom: -8.523
Magnetization, μB per cell: 19.9
Space group: Pmmm, No. 47
Density, g/cm³: 9.7
Formation enthalpy at 0 K, meV per atom: -61

abc: 4.056 4.991 8.646
angles: 90.00 90.00 90.00
Element x y z (fractional)
Th: 0.000 0.000 0.000
Pa: 0.000 0.500 0.500
Fe: 0.000 0.000 0.339
Fe: 0.000 0.000 0.661
Fe: 0.000 0.500 0.174
Fe: 0.000 0.500 0.826
Fe: 0.500 0.000 0.500
Fe: 0.500 0.251 0.253
Fe: 0.500 0.251 0.747
Fe: 0.500 0.500 0.000
Fe: 0.500 0.749 0.253
Fe: 0.500 0.749 0.747



# 3
The following is a GGA-PBE calculation of an optimized crystal structure of ThPaFe4, from Alexandria via LeMat-Bulk.

Calculated values
Total DFT energy (no corrections), eV per atom: -8.560
Magnetization, μB per cell: 5.1
Space group: F-43m, No. 216
Density, g/cm³: 12.0
Formation enthalpy at 0 K, meV per atom: -99

abc: 5.118 5.118 5.118
angles: 60.00 60.00 60.00
Element x y z (fractional)
Th: 0.000 0.000 0.000
Pa: 0.250 0.250 0.250
Fe: 0.126 0.625 0.625
Fe: 0.625 0.126 0.625
Fe: 0.625 0.625 0.126
Fe: 0.625 0.625 0.625



# 4
The following is a GGA-PBE calculation of an optimized crystal structure of ThPa2Fe, from Alexandria via LeMat-Bulk.

Calculated values
Total DFT energy (no corrections), eV per atom: -8.877
Magnetization, μB per cell: 0.0
Space group: P2_1/m, No. 11
Density, g/cm³: 13.4
Formation enthalpy at 0 K, meV per atom: -159

abc: 3.523 9.384 5.892
angles: 90.00 107.30 90.00
Element x y z (fractional)
Th: 0.084 0.250 0.170
Th: 0.916 0.750 0.830
Pa: 0.361 0.060 0.721
Pa: 0.361 0.440 0.721
Pa: 0.639 0.560 0.279
Pa: 0.639 0.940 0.279
Fe: 0.194 0.750 0.387
Fe: 0.806 0.250 0.613



# 5
The following is a GGA-PBE calculation of an optimized crystal structure of ThPa2Fe, from Alexandria via LeMat-Bulk.

Calculated values
Total DFT energy (no corrections), eV per atom: -8.706
Magnetization, μB per cell: 0.0
Space group: P4/mmm, No. 123
Density, g/cm³: 13.5
Formation enthalpy at 0 K, meV per atom: 12

abc: 3.461 3.461 7.688
angles: 90.00 90.00 90.00
Element x y z (fractional)
Th: 0.000 0.000 0.000
Pa: 0.500 0.500 0.313
Pa: 0.500 0.500 0.687
Fe: 0.000 0.000 0.500



# 6
The following is a GGA-PBE calculation of an optimized crystal structure of Pa2TiFe9, from Alexandria via LeMat-Bulk.

Calculated values
Total DFT energy (no corrections), eV per atom: -8.661
Magnetization, μB per cell: 3.1
Space group: R-3m, No. 166
Density, g/cm³: 10.3
Formation enthalpy at 0 K, meV per atom: -73

abc: 8.799 8.799 8.799
angles: 31.30 31.30 31.30
Element x y z (fractional)
Pa: 0.141 0.141 0.141
Pa: 0.859 0.859 0.859
Ti: 0.000 0.000 0.000
Fe: 0.079 0.578 0.578
Fe: 0.333 0.333 0.333
Fe: 0.422 0.422 0.921
Fe: 0.422 0.921 0.422
Fe: 0.500 0.500 0.500
Fe: 0.578 0.079 0.578
Fe: 0.578 0.578 0.079
Fe: 0.667 0.667 0.667
Fe: 0.921 0.422 0.422



# 7
The following is a GGA-PBE calculation of an optimized crystal structure of PaTiFe4, from Alexandria via LeMat-Bulk.

Calculated values
Total DFT energy (no corrections), eV per atom: -8.690
Magnetization, μB per cell: 5.0
Space group: F-43m, No. 216
Density, g/cm³: 9.8
Formation enthalpy at 0 K, meV per atom: -150

abc: 4.937 4.937 4.937
angles: 60.00 60.00 60.00
Element x y z (fractional)
Pa: 0.000 0.000 0.000
Ti: 0.250 0.250 0.250
Fe: 0.127 0.624 0.624
Fe: 0.624 0.127 0.624
Fe: 0.624 0.624 0.127
Fe: 0.624 0.624 0.624



# 8
The following is a GGA-PBE calculation of an optimized crystal structure of PaTlFe, from Alexandria via LeMat-Bulk.

Calculated values
Total DFT energy (no corrections), eV per atom: -6.933
Magnetization, μB per cell: 0.0
Space group: P4/mmm, No. 123
Density, g/cm³: 12.3
Formation enthalpy at 0 K, meV per atom: -158

abc: 3.573 3.573 5.215
angles: 90.00 90.00 90.00
Element x y z (fractional)
Pa: 0.000 0.000 0.000
Tl: 0.500 0.500 0.500
Fe: 0.500 0.500 0.000



# 9
The following is a GGA-PBE calculation of an optimized crystal structure of Tm2PaFe2, from Alexandria via LeMat-Bulk.

Calculated values
Total DFT energy (no corrections), eV per atom: -7.284
Magnetization, μB per cell: 0.0
Space group: C2/c, No. 15
Density, g/cm³: 11.1
Formation enthalpy at 0 K, meV per atom: -211

abc: 5.868 5.868 6.853
angles: 97.46 97.46 61.22
Element x y z (fractional)
Tm: 0.044 0.260 0.147
Tm: 0.260 0.044 0.647
Tm: 0.740 0.956 0.353
Tm: 0.956 0.740 0.853
Pa: 0.422 0.578 0.250
Pa: 0.578 0.422 0.750
Fe: 0.197 0.500 0.485
Fe: 0.500 0.197 0.985
Fe: 0.500 0.803 0.015
Fe: 0.803 0.500 0.515



# 10
The following is a GGA-PBE calculation of an optimized crystal structure of TmPa2Fe2, from Alexandria via LeMat-Bulk.

Calculated values
Total DFT energy (no corrections), eV per atom: -8.196
Magnetization, μB per cell: 0.0
Space group: C2/m, No. 12
Density, g/cm³: 12.2
Formation enthalpy at 0 K, meV per atom: -118

abc: 6.345 6.345 10.445
angles: 114.18 114.18 31.98
Element x y z (fractional)
Tm: 0.186 0.186 0.355
Tm: 0.814 0.814 0.645
Pa: 0.337 0.337 0.937
Pa: 0.431 0.431 0.294
Pa: 0.569 0.569 0.706
Pa: 0.663 0.663 0.063
Fe: 0.034 0.034 0.895
Fe: 0.115 0.115 0.583
Fe: 0.885 0.885 0.417
Fe: 0.966 0.966 0.105



# 11
The following is a GGA-PBE calculation of an optimized crystal structure of TmPaFe4, from Alexandria via LeMat-Bulk.

Calculated values
Total DFT energy (no corrections), eV per atom: -8.097
Magnetization, μB per cell: 6.0
Space group: F-43m, No. 216
Density, g/cm³: 11.2
Formation enthalpy at 0 K, meV per atom: -127

abc: 5.077 5.077 5.077
angles: 60.00 60.00 60.00
Element x y z (fractional)
Tm: 0.000 0.000 0.000
Pa: 0.250 0.250 0.250
Fe: 0.126 0.625 0.625
Fe: 0.625 0.126 0.625
Fe: 0.625 0.625 0.126
Fe: 0.625 0.625 0.625



# 12
The following is a GGA-PBE calculation of an optimized crystal structure of TmPa2Fe, from Alexandria via LeMat-Bulk.

Calculated values
Total DFT energy (no corrections), eV per atom: -7.948
Magnetization, μB per cell: 0.0
Space group: R-3m, No. 166
Density, g/cm³: 12.0
Formation enthalpy at 0 K, meV per atom: 33

abc: 3.565 3.565 25.981
angles: 90.00 90.00 120.00
Element x y z (fractional)
Tm: 0.000 0.000 0.000
Tm: 0.333 0.667 0.667
Tm: 0.667 0.333 0.333
Pa: 0.000 0.000 0.228
Pa: 0.000 0.000 0.772
Pa: 0.333 0.667 0.439
Pa: 0.333 0.667 0.894
Pa: 0.667 0.333 0.106
Pa: 0.667 0.333 0.561
Fe: 0.000 0.000 0.500
Fe: 0.333 0.667 0.167
Fe: 0.667 0.333 0.833



# 13
The following is a GGA-PBE calculation of an optimized crystal structure of TmPaFe, from Alexandria via LeMat-Bulk.

Calculated values
Total DFT energy (no corrections), eV per atom: -7.658
Magnetization, μB per cell: 0.0
Space group: P2_1/c, No. 14
Density, g/cm³: 11.3
Formation enthalpy at 0 K, meV per atom: -182

abc: 5.958 6.597 6.789
angles: 90.00 90.84 90.00
Element x y z (fractional)
Tm: 0.133 0.159 0.317
Tm: 0.133 0.341 0.817
Tm: 0.867 0.659 0.183
Tm: 0.867 0.841 0.683
Pa: 0.363 0.697 0.467
Pa: 0.363 0.803 0.967
Pa: 0.637 0.197 0.033
Pa: 0.637 0.303 0.533
Fe: 0.378 0.511 0.168
Fe: 0.378 0.989 0.668
Fe: 0.622 0.011 0.332
Fe: 0.622 0.489 0.832



# 14
The following is a GGA-PBE calculation of an optimized crystal structure of Tm2PaFe9, from Alexandria via LeMat-Bulk.

Calculated values
Total DFT energy (no corrections), eV per atom: -7.996
Magnetization, μB per cell: 15.9
Space group: R-3m, No. 166
Density, g/cm³: 10.0
Formation enthalpy at 0 K, meV per atom: -112

abc: 8.691 8.691 8.691
angles: 33.42 33.42 33.42
Element x y z (fractional)
Tm: 0.142 0.142 0.142
Tm: 0.858 0.858 0.858
Pa: 0.000 0.000 0.000
Fe: 0.083 0.583 0.583
Fe: 0.333 0.333 0.333
Fe: 0.417 0.417 0.917
Fe: 0.417 0.917 0.417
Fe: 0.500 0.500 0.500
Fe: 0.583 0.083 0.583
Fe: 0.583 0.583 0.083
Fe: 0.667 0.667 0.667
Fe: 0.917 0.417 0.417



# 15
The following is a GGA-PBE calculation of an optimized crystal structure of TmPa2Fe, from Alexandria via LeMat-Bulk.

Calculated values
Total DFT energy (no corrections), eV per atom: -7.900
Magnetization, μB per cell: 0.0
Space group: P4/mmm, No. 123
Density, g/cm³: 12.5
Formation enthalpy at 0 K, meV per atom: 81

abc: 3.411 3.411 7.857
angles: 90.00 90.00 90.00
Element x y z (fractional)
Tm: 0.000 0.000 0.000
Pa: 0.500 0.500 0.318
Pa: 0.500 0.500 0.682
Fe: 0.000 0.000 0.500



# 16
The following is a GGA-PBE calculation of an optimized crystal structure of TmPaFe, from Alexandria via LeMat-Bulk.

Calculated values
Total DFT energy (no corrections), eV per atom: -7.532
Magnetization, μB per cell: 0.0
Space group: I4mm, No. 107
Density, g/cm³: 12.2
Formation enthalpy at 0 K, meV per atom: -55

abc: 3.366 3.366 10.969
angles: 90.00 90.00 90.00
Element x y z (fractional)
Tm: 0.000 0.000 0.000
Tm: 0.500 0.500 0.500
Pa: 0.000 0.000 0.292
Pa: 0.500 0.500 0.792
Fe: 0.000 0.000 0.691
Fe: 0.500 0.500 0.191



# 17
The following is a GGA-PBE calculation of an optimized crystal structure of TmPaFe, from Alexandria via LeMat-Bulk.

Calculated values
Total DFT energy (no corrections), eV per atom: -7.390
Magnetization, μB per cell: 0.0
Space group: P-6m2, No. 187
Density, g/cm³: 10.7
Formation enthalpy at 0 K, meV per atom: 87

abc: 4.039 4.039 4.985
angles: 90.00 90.00 120.00
Element x y z (fractional)
Tm: 0.000 0.000 0.000
Pa: 0.667 0.333 0.500
Fe: 0.333 0.667 0.500



# 18
The following is a GGA-PBE calculation of an optimized crystal structure of TmPaFe, from Alexandria via LeMat-Bulk.

Calculated values
Total DFT energy (no corrections), eV per atom: -7.620
Magnetization, μB per cell: 0.0
Space group: Pnma, No. 62
Density, g/cm³: 11.3
Formation enthalpy at 0 K, meV per atom: -143

abc: 5.850 3.640 12.546
angles: 90.00 90.00 90.00
Element x y z (fractional)
Tm: 0.128 0.250 0.103
Tm: 0.372 0.750 0.603
Tm: 0.628 0.250 0.397
Tm: 0.872 0.750 0.897
Pa: 0.127 0.750 0.344
Pa: 0.373 0.250 0.844
Pa: 0.627 0.750 0.156
Pa: 0.873 0.250 0.656
Fe: 0.138 0.250 0.463
Fe: 0.362 0.750 0.963
Fe: 0.638 0.250 0.037
Fe: 0.862 0.750 0.537



# 19
The following is a GGA-PBE calculation of an optimized crystal structure of UPaFe4, from Alexandria via LeMat-Bulk.

Calculated values
Total DFT energy (no corrections), eV per atom: -9.261
Magnetization, μB per cell: 2.5
Space group: F-43m, No. 216
Density, g/cm³: 13.2
Formation enthalpy at 0 K, meV per atom: -155

abc: 4.970 4.970 4.970
angles: 60.00 60.00 60.00
Element x y z (fractional)
U: 0.000 0.000 0.000
Pa: 0.750 0.750 0.750
Fe: 0.375 0.375 0.375
Fe: 0.375 0.375 0.876
Fe: 0.375 0.876 0.375
Fe: 0.876 0.375 0.375



# 20
The following is a GGA-PBE calculation of an optimized crystal structure of UPaFe3, from Alexandria via LeMat-Bulk.

Calculated values
Total DFT energy (no corrections), eV per atom: -9.085
Magnetization, μB per cell: 1.7
Space group: R-3m, No. 166
Density, g/cm³: 12.9
Formation enthalpy at 0 K, meV per atom: 149

abc: 8.314 8.314 8.314
angles: 34.50 34.50 34.50
Element x y z (fractional)
U: 0.188 0.188 0.188
U: 0.812 0.812 0.812
Pa: 0.308 0.308 0.308
Pa: 0.692 0.692 0.692
Fe: 0.250 0.748 0.748
Fe: 0.252 0.252 0.750
Fe: 0.252 0.750 0.252
Fe: 0.748 0.250 0.748
Fe: 0.748 0.748 0.250
Fe: 0.750 0.252 0.252